# 1
The following is a PBE calculation of a relaxed ScReP2 crystal, from Alexandria via LeMat-Bulk.

Output
Its spin magnetization is 0.00 μB per formula unit. The electronic total energy comes out at -7.86 eV per atom. The calculation puts the energy relative to the elements at -44.9 kJ per mole of atoms. The value obtained for the density of states at the Fermi level is 3.74 states/eV/f.u. As for the energy relative to the lowest polymorph listed for this composition: 266 meV per atom.

a = 3.0084 Å, b = 3.0084 Å, c = 6.5368 Å
α = 90.00°, β = 90.00°, γ = 90.51°
Element x y z (fractional)
P (0.0000, 0.0000, 0.0303)
Sc (0.5000, 0.5000, 0.7500)
Re (0.5000, 0.5000, 0.2500)
P (0.0000, 0.0000, 0.4697)

---

# 2
The following is a PBE calculation of a relaxed Tb2YEr2Sc crystal, from Alexandria via LeMat-Bulk.

Output
Its spin magnetization is 0.00 μB per formula unit. The electronic total energy comes out at -5.13 eV per atom. The calculation puts the energy relative to the elements at 6.6 kJ per mole of atoms. The value obtained for the density of states at the Fermi level is 11.13 states/eV/f.u.

a = 5.5020 Å, b = 6.9470 Å, c = 9.5072 Å
α = 90.00°, β = 90.00°, γ = 90.00°
Element x y z (fractional)
Er (0.0000, 0.2575, 0.1583)
Er (0.5000, 0.0076, 0.0000)
Sc (0.5000, 0.2577, 0.6768)
Tb (0.0000, 0.2576, 0.8224)
Sc (0.5000, 0.7577, 0.3232)
Er (0.0000, 0.7575, 0.8417)
Tb (0.5000, 0.2576, 0.3447)
Er (0.5000, 0.5076, 0.0000)
Tb (0.5000, 0.7576, 0.6553)
Y (0.0000, 0.5076, 0.5000)
Y (0.0000, 0.0076, 0.5000)
Tb (0.0000, 0.7576, 0.1776)

---

# 3
The following is a PBE calculation of a relaxed Tm6PtS4 crystal, from Alexandria via LeMat-Bulk.

Output
Its spin magnetization is 0.00 μB per formula unit. The electronic total energy comes out at -6.19 eV per atom. The value obtained for the formation energy without anion corrections is -1696.5 meV/atom. The value obtained for the density of states at the Fermi level is 4.61 states/eV/f.u.

a = 3.8049 Å, b = 6.6217 Å, c = 19.7910 Å
α = 90.00°, β = 90.00°, γ = 106.70°
Element x y z (fractional)
Tm (0.5000, 0.0000, 0.0000)
S (0.4136, 0.8273, 0.1230)
Pt (0.6653, 0.3307, 0.2500)
Tm (0.3286, 0.6572, 0.2500)
S (0.5864, 0.1727, 0.8770)
S (0.1406, 0.2812, 0.0376)
S (0.1406, 0.2812, 0.4624)
Tm (0.5000, 0.0000, 0.5000)
Tm (0.2285, 0.4570, 0.5905)
Tm (0.7715, 0.5430, 0.0905)
Tm (0.0569, 0.1138, 0.1658)
Tm (0.9431, 0.8862, 0.6658)
S (0.5864, 0.1727, 0.6230)
Tm (0.7715, 0.5430, 0.4095)
S (0.8594, 0.7188, 0.5376)
S (0.8594, 0.7188, 0.9624)
Tm (0.2285, 0.4570, 0.9095)
Tm (0.6714, 0.3428, 0.7500)
Tm (0.9431, 0.8862, 0.8342)
S (0.4136, 0.8273, 0.3770)
Pt (0.3347, 0.6693, 0.7500)
Tm (0.0569, 0.1138, 0.3342)

---

# 4
The following is a PBE calculation of a relaxed LiCuPtAu crystal, from Alexandria via LeMat-Bulk.

Output
Its spin magnetization is 0.00 μB per formula unit. The electronic total energy comes out at -4.14 eV per atom. The calculation puts the energy relative to the elements at -29.8 kJ per mole of atoms. The value obtained for the density of states at the Fermi level is 1.80 states/eV/f.u. As for the energy relative to the lowest polymorph listed for this composition: 44 meV per atom.

a = 4.3141 Å, b = 4.3141 Å, c = 4.3141 Å
α = 60.00°, β = 60.00°, γ = 60.00°
Element x y z (fractional)
Pt (0.7500, 0.7500, 0.7500)
Cu (0.5000, 0.5000, 0.5000)
Au (0.2500, 0.2500, 0.2500)
Li (0.0000, 0.0000, 0.0000)

---

# 5
The following is a PBE calculation of a relaxed Hg2WBr crystal, from Alexandria via LeMat-Bulk.

Output
Its spin magnetization is 0.37 μB per formula unit. The electronic total energy comes out at -2.97 eV per atom. The value obtained for the formation energy without anion corrections is 840.0 meV/atom. The value obtained for the density of states at the Fermi level is 3.26 states/eV/f.u. As for the energy relative to the lowest polymorph listed for this composition: 343 meV per atom.

a = 5.4243 Å, b = 5.4243 Å, c = 3.0481 Å
α = 90.00°, β = 90.00°, γ = 112.75°
Last column: magnetic moment on the atom in μB.
Element x y z (fractional)
W (0.5000, 0.0000, 0.5000)  0.29
Hg (0.0000, 0.0000, 0.0000)  0.00
Hg (0.5000, 0.5000, 0.0000)  0.00
Br (0.0000, 0.5000, 0.5000)  -0.01